Computed, not measured: crystalline TbMnVSi2 at its relaxed geometry at the PBE level of DFT.

The value obtained for the density of states at the Fermi level is 4.76 states/eV per cell. The raw formation energy comes out at -0.59 eV per atom. As for the magnetization: 1.40 μB per cell.

Unit cell a=3.9094 b=3.9094 c=10.7172 alpha=90.00 beta=90.00 gamma=90.00
Closest atoms and distances in Å follow each position.
Space group I-4m2 (No. 119)
Unique sites:
Tb 0.0000 0.0000 0.0000  8 Si 3.02, 4 Mn 3.32, 4 V 3.32
Mn 0.0000 0.5000 0.7500  4 Si 2.44
V 0.0000 0.5000 0.2500  4 Si 2.44
Si 0.0000 0.0000 0.3866  1 Si 2.43, 2 Mn 2.44, 2 V 2.44

---

Computed, not measured: crystalline TbMnSi2W at its relaxed geometry at the PBE level of DFT.

The value obtained for the density of states at the Fermi level is 6.52 states/eV per cell. The raw formation energy comes out at -0.46 eV per atom. As for the magnetization: 4.46 μB per cell.

Unit cell a=3.9384 b=3.9384 c=10.9611 alpha=90.00 beta=90.00 gamma=90.00
Closest atoms and distances in Å follow each position.
Space group I-4m2 (No. 119)
Unique sites:
Tb 0.0000 0.0000 0.0000  8 Si 3.04, 4 Mn 3.37, 4 W 3.37
Mn 0.0000 0.5000 0.2500  4 Si 2.49, 4 W 2.78
Si 0.0000 0.0000 0.3891  1 Si 2.43, 2 Mn 2.49, 2 W 2.49
W 0.0000 0.5000 0.7500  4 Si 2.49, 4 Mn 2.78

---

Computed, not measured: crystalline Mn2Si2Tc at its relaxed geometry at the PBE level of DFT.

The value obtained for the density of states at the Fermi level is 7.02 states/eV per cell. The raw formation energy comes out at -0.28 eV per atom. As for the magnetization: 7.25 μB per cell.

Unit cell a=6.6543 b=6.6543 c=2.7802 alpha=90.00 beta=90.00 gamma=90.00
Closest atoms and distances in Å follow each position.
Space group P4/mbm (No. 127)
Unique sites:
Mn 0.1538 0.3462 0.0000  6 Si 2.38-2.41
Si 0.1412 0.6412 0.5000  6 Mn 2.38-2.41, 2 Tc 2.57, 1 Si 2.66
Tc 0.0000 0.0000 0.5000  4 Si 2.57, 2 Tc 2.78

---

Computed, not measured: crystalline Mn2SiTc at its relaxed geometry at the PBE level of DFT.

The value obtained for the density of states at the Fermi level is 3.79 states/eV per cell. The raw formation energy comes out at -0.13 eV per atom. As for the magnetization: 0.75 μB per cell.

Unit cell a=2.6648 b=3.6598 c=5.1710 alpha=90.00 beta=90.00 gamma=90.00
Closest atoms and distances in Å follow each position.
Space group Pmm2 (No. 25)
Unique sites:
Mn 0.0000 0.0000 0.0000  2 Si 2.51-2.66, 6 Mn 2.57-2.66, 4 Tc 2.66
Mn 0.5000 0.5000 0.2345  2 Tc 2.56-2.61, 6 Mn 2.57-2.66, 4 Si 2.61
Si 0.0000 0.0000 0.4856  6 Mn 2.51-2.66, 4 Tc 2.59, 2 Si 2.66
Tc 0.5000 0.5000 0.7303  6 Mn 2.56-2.66, 4 Si 2.59, 2 Tc 2.66

---

Computed, not measured: crystalline MnSiTc2 at its relaxed geometry at the PBE level of DFT.

The value obtained for the density of states at the Fermi level is 18.23 states/eV per cell. The raw formation energy comes out at 0.42 eV per atom. As for the magnetization: 10.81 μB per cell.

Unit cell a=6.6564 b=6.6564 c=5.3831 alpha=90.00 beta=90.00 gamma=90.00
Closest atoms and distances in Å follow each position.
Space group I-42d (No. 122)
Unique sites:
Mn 0.0000 0.0000 0.0000  4 Tc 2.56, 2 Si 2.69
Si 0.0000 0.0000 0.5000  4 Tc 2.34
Tc 0.2249 0.7500 0.6250  2 Si 2.34, 2 Mn 2.56

---

Computed, not measured: crystalline Mn2SiTc at its relaxed geometry at the PBE level of DFT.

The value obtained for the density of states at the Fermi level is 3.07 states/eV per cell. The raw formation energy comes out at -0.12 eV per atom. As for the magnetization: 0.00 μB per cell.

Unit cell a=4.0475 b=4.0475 c=2.9134 alpha=90.00 beta=90.00 gamma=90.00
Closest atoms and distances in Å follow each position.
Space group P4/mmm (No. 123)
Unique sites:
Mn 0.0000 0.5000 0.0000  4 Tc 2.49, 4 Si 2.49
Si 0.0000 0.0000 0.5000  8 Mn 2.49
Tc 0.5000 0.5000 0.5000  8 Mn 2.49

---

Computed, not measured: crystalline Mn2SiTc at its relaxed geometry at the PBE level of DFT.

The value obtained for the density of states at the Fermi level is 8.87 states/eV per cell. The raw formation energy comes out at 0.38 eV per atom. As for the magnetization: 19.96 μB per cell.

Unit cell a=6.6603 b=6.6603 c=5.0470 alpha=90.00 beta=90.00 gamma=90.00
Closest atoms and distances in Å follow each position.
Space group I-42d (No. 122)
Unique sites:
Mn 0.2395 0.2500 0.1250  2 Si 2.39, 2 Tc 2.49, 2 Mn 2.53
Si 0.0000 0.0000 0.0000  4 Mn 2.39, 2 Tc 2.52
Tc 0.0000 0.0000 0.5000  4 Mn 2.49, 2 Si 2.52

---

Computed, not measured: crystalline MnSiTc2 at its relaxed geometry at the PBE level of DFT.

The value obtained for the density of states at the Fermi level is 4.29 states/eV per cell. The raw formation energy comes out at -0.27 eV per atom. As for the magnetization: 2.15 μB per cell.

Unit cell a=4.2369 b=4.2369 c=2.9572 alpha=90.00 beta=90.00 gamma=90.00
Closest atoms and distances in Å follow each position.
Space group P4/mmm (No. 123)
Unique sites:
Mn 0.0000 0.0000 0.0000  8 Tc 2.58
Si 0.5000 0.5000 0.0000  8 Tc 2.58
Tc 0.0000 0.5000 0.5000  4 Si 2.58, 4 Mn 2.58

---

Computed, not measured: crystalline MnSiTc3 at its relaxed geometry at the PBE level of DFT.

The value obtained for the density of states at the Fermi level is 9.36 states/eV per cell. The raw formation energy comes out at 1.18 eV per atom. As for the magnetization: 0.00 μB per cell. The calculation puts the energy above the most stable polymorph in this dataset at 0 meV/atom.

Unit cell a=4.3301 b=4.3301 c=4.3301 alpha=90.00 beta=90.00 gamma=90.00
Closest atoms and distances in Å follow each position.
Space group Pm-3m (No. 221)
Unique sites:
Mn 0.0000 0.0000 0.0000  12 Tc 3.06
Si 0.5000 0.5000 0.5000  6 Tc 2.17
Tc 0.0000 0.5000 0.5000  2 Si 2.17

---

Computed, not measured: crystalline Mn2SiTc at its relaxed geometry at the PBE level of DFT.

The value obtained for the density of states at the Fermi level is 12.14 states/eV per cell. The raw formation energy comes out at -0.04 eV per atom. As for the magnetization: 4.42 μB per cell.

Unit cell a=2.6483 b=2.6483 c=24.2631 alpha=90.00 beta=90.00 gamma=120.00
Closest atoms and distances in Å follow each position.
Space group R3m (No. 160, hexagonal axes)
Unique sites:
Mn 0.0000 0.0000 0.0000  3 Si 2.48, 3 Tc 2.64, 6 Mn 2.65
Mn 0.0000 0.0000 0.1729  3 Si 2.47, 3 Tc 2.55, 6 Mn 2.65
Si 0.0000 0.0000 0.5861  6 Mn 2.47-2.48, 6 Si 2.65
Tc 0.0000 0.0000 0.7556  6 Mn 2.55-2.64, 6 Tc 2.65

---

Computed, not measured: crystalline Mn2SiTc at its relaxed geometry at the PBE level of DFT.

The value obtained for the density of states at the Fermi level is 5.26 states/eV per cell. The raw formation energy comes out at -0.20 eV per atom. As for the magnetization: 3.27 μB per cell.

Unit cell a=2.9672 b=4.0434 c=4.1278 alpha=90.00 beta=90.00 gamma=90.00
Closest atoms and distances in Å follow each position.
Space group Pmmm (No. 47)
Unique sites:
Mn 0.0000 0.0000 0.0000  4 Mn 2.51, 4 Tc 2.54
Mn 0.5000 0.5000 0.0000  4 Mn 2.51, 4 Si 2.54
Si 0.0000 0.5000 0.5000  4 Tc 2.51, 4 Mn 2.54
Tc 0.5000 0.0000 0.5000  4 Si 2.51, 4 Mn 2.54

---

Computed, not measured: crystalline MnSiTc2 at its relaxed geometry at the PBE level of DFT.

The value obtained for the density of states at the Fermi level is 3.18 states/eV per cell. The raw formation energy comes out at -0.21 eV per atom. As for the magnetization: 0.00 μB per cell.

Unit cell a=2.8666 b=2.8666 c=6.2358 alpha=90.00 beta=90.00 gamma=90.00
Closest atoms and distances in Å follow each position.
Space group P4mm (No. 99)
Unique sites:
Mn 0.0000 0.0000 0.0000  4 Si 2.40, 4 Tc 2.57
Si 0.5000 0.5000 0.2074  4 Mn 2.40, 4 Tc 2.57
Tc 0.0000 0.0000 0.4598  4 Si 2.57, 8 Tc 2.70-2.87, 1 Mn 2.87
Tc 0.5000 0.5000 0.7454  4 Mn 2.57, 8 Tc 2.70-2.87, 1 Si 2.88